#1
Compound: AcBeBi2
Source: the Alexandria database
Functional: PBE
Structure: relaxed

Cell: 4.891 4.891 4.866 Å, 90.00 90.00 90.00°
Space group P4/mmm (No. 123)
Symmetry-distinct sites (fractional):
Ac 0.000 0.000 0.000
Be 0.500 0.500 0.000
Bi 0.000 0.500 0.500

Summary:
The value obtained for the calculated volume is 116 Å³/f.u. Its magnetization is 0.0 Bohr magnetons per cell. For the density of states at the Fermi level, the calculation gives 2.1 states/eV/cell. The value obtained for the density is 9.33 g/cm³.


#2
Compound: AcBeBi2
Source: the Alexandria database
Functional: PBE
Structure: relaxed

Cell: 4.5385 4.5385 20.7474 Å, 90.00 90.00 120.00°
Space group R-3m (No. 166, hexagonal axes)
Symmetry-distinct sites (fractional):
Ac 0.0000 0.0000 0.0000
Be 0.0000 0.0000 0.5000
Bi 0.0000 0.0000 0.2258

Summary:
The value obtained for the calculated volume is 123 Å³/f.u. Its magnetization is 0.0 Bohr magnetons per cell. For the density of states at the Fermi level, the calculation gives 8.3 states/eV/cell. The value obtained for the density is 8.80 g/cm³.


So which one is most stable? That would be #1, about 8.3 kJ/mol of atoms below the next structure.